NaOs2AuF: optimized geometry, GGA-PBE.

```
NaOs2AuF
1.0
4.149 0.000 0.000
0.000 4.149 0.000
0.000 0.000 5.185
Na Os Au F
1 2 1 1
direct
0.000 0.000 0.000
0.000 0.500 0.500
0.500 0.000 0.500
0.500 0.500 0.000
0.500 0.500 0.500
```

formation energy from raw total energies: 613 kJ/mol of formula units


Li4Ho5Tl4: optimized geometry, GGA-PBE.

```
Li4Ho5Tl4
1.0
-5.949 5.949 2.297
5.949 -5.949 2.297
5.949 5.949 -2.297
Li Ho Tl
4 5 4
direct
0.071 0.604 0.675
0.396 0.071 0.468
0.604 0.929 0.532
0.929 0.396 0.325
0.126 0.200 0.326
0.200 0.874 0.075
0.500 0.500 0.000
0.800 0.126 0.925
0.874 0.800 0.674
0.244 0.439 0.683
0.439 0.756 0.195
0.561 0.244 0.805
0.756 0.561 0.317
```

E_form: -241 meV/atom


HfAlNi: optimized geometry, GGA-PBE.

```
HfAlNi
1.0
-1.995 6.226 3.065
1.995 -6.226 3.065
1.995 6.226 -3.065
Hf Al Ni
3 3 3
direct
0.000 0.000 0.000
0.436 0.096 0.340
0.756 0.096 0.660
0.243 0.572 0.671
0.533 0.533 0.000
0.900 0.572 0.329
0.149 0.307 0.842
0.296 0.796 0.500
0.465 0.307 0.158
```

E_form: -403 meV/atom


Sc2TiNbO: optimized geometry, GGA-PBE.

```
Sc2TiNbO
1.0
4.396 0.000 0.000
0.000 4.396 0.000
0.000 0.000 4.253
Sc Ti Nb O
2 1 1 1
direct
0.000 0.500 0.000
0.500 0.000 0.000
0.000 0.000 0.500
0.500 0.500 0.500
0.000 0.000 0.000
```

formation energy from raw total energies: -513 kJ/mol of formula units


| no. | size of the total moment (μB/f.u.) |
| --- | --- |
| 1 | 3.1 |
| 2 | 0.0 |
| 3 | 0.0 |
| 4 | 0.0 |